## K2Ga4HgAu3 (PBE-GGA)

Data for an optimized crystal structure of K2Ga4HgAu3.

```
10
Lattice="4.790 0.000 0.000 0.000 4.790 0.000 0.000 0.000 10.433" Properties=species:S:1:pos:R:3 pbc="T T T"
K 0.000 2.395 2.599
K 2.395 0.000 7.834
Ga 0.000 0.000 0.000
Ga 0.000 2.395 6.574
Ga 2.395 0.000 3.859
Ga 2.395 2.395 0.000
Hg 0.000 0.000 5.217
Au 0.000 2.395 9.203
Au 2.395 0.000 1.231
Au 2.395 2.395 5.217
```

Calculated values
Uncorrected energy = -27.09 eV for the cell shown
E_form = -0.2651 eV per atom
Total magnetization = 0.000 μB per atom
Mass density = 7.97 Mg/m³


## MgMnMoH (PBE-GGA)

Data for an optimized crystal structure of MgMnMoH.

```
8
Lattice="2.929 0.000 0.000 0.000 2.998 0.000 0.000 0.000 11.110" Properties=species:S:1:pos:R:3 pbc="T T T"
Mg 0.000 0.000 0.000
Mg 1.464 1.499 5.555
Mn 0.000 0.000 7.657
Mn 1.464 1.499 2.102
Mo 0.000 0.000 3.446
Mo 1.464 1.499 9.001
H 0.000 1.499 1.253
H 1.464 0.000 6.808
```

Calculated values
E above lowest polymorph = 11.4 kJ/mol of atoms
Uncorrected energy = -48.36 eV for the cell shown
Total magnetization = 0.000 μB per atom
Mass density = 6.00 Mg/m³


## SrCr2Rh (PBE-GGA)

Data for an optimized crystal structure of SrCr2Rh.

```
8
Lattice="3.169 0.000 0.000 0.000 5.167 0.000 0.000 0.000 10.372" Properties=species:S:1:pos:R:3 pbc="T T T"
Sr 0.000 0.000 0.000
Sr 1.585 2.584 5.186
Cr 0.000 2.584 2.131
Cr 0.000 2.584 8.241
Cr 1.585 0.000 3.055
Cr 1.585 0.000 7.317
Rh 0.000 0.000 5.186
Rh 1.585 2.584 0.000
```

Calculated values
E above lowest polymorph = 38.3 kJ/mol of atoms
Uncorrected energy = -51.23 eV for the cell shown
E_form = 0.6658 eV per atom
Total magnetization = 2.061 μB per atom
Mass density = 5.76 Mg/m³


## MgPtW2 (PBE-GGA)

Data for an optimized crystal structure of MgPtW2.

```
8
Lattice="3.602 0.000 0.000 0.000 4.114 0.000 0.000 0.000 8.869" Properties=species:S:1:pos:R:3 pbc="T T T"
Mg 0.000 0.000 0.000
Mg 1.801 2.057 0.000
Pt 0.000 0.000 4.435
Pt 1.801 2.057 4.435
W 0.000 2.057 2.320
W 0.000 2.057 6.550
W 1.801 0.000 2.320
W 1.801 0.000 6.550
```

Calculated values
Uncorrected energy = -65.58 eV for the cell shown
E_form = 0.1881 eV per atom
Total magnetization = 0.000 μB per atom
Mass density = 14.83 Mg/m³


## Co2BOs2 (PBE-GGA)

Data for an optimized crystal structure of Co2BOs2.

```
10
Lattice="3.017 0.000 0.000 0.000 3.017 0.000 0.000 0.000 13.191" Properties=species:S:1:pos:R:3 pbc="T T T"
Co 0.000 1.509 3.298
Co 0.000 1.509 9.893
Co 1.509 0.000 3.298
Co 1.509 0.000 9.893
B 0.000 0.000 0.000
B 1.509 1.509 6.595
Os 0.000 0.000 5.356
Os 0.000 0.000 7.834
Os 1.509 1.509 1.239
Os 1.509 1.509 11.952
```

Calculated values
E above lowest polymorph = 39.1 kJ/mol of atoms
Uncorrected energy = -79.78 eV for the cell shown
E_form = 0.6919 eV per atom
Total magnetization = 0.354 μB per atom
Mass density = 14.08 Mg/m³


## Sr2TcAs (PBE-GGA)

Data for an optimized crystal structure of Sr2TcAs.

```
8
Lattice="4.240 0.000 0.000 0.000 4.788 0.000 0.000 0.000 11.338" Properties=species:S:1:pos:R:3 pbc="T T T"
Sr 0.000 0.000 0.000
Sr 0.000 2.394 5.669
Sr 2.120 0.000 3.227
Sr 2.120 2.394 8.896
Tc 0.000 0.000 7.825
Tc 0.000 2.394 2.156
As 2.120 0.000 6.648
As 2.120 2.394 0.979
```

Calculated values
Uncorrected energy = -38.30 eV for the cell shown
E_form = -0.1924 eV per atom
Total magnetization = 0.000 μB per atom
Mass density = 5.02 Mg/m³


## CeTmSc2 (PBE-GGA)

Data for an optimized crystal structure of CeTmSc2.

```
4
Lattice="3.417 0.000 0.000 0.000 3.417 0.000 0.000 0.000 9.238" Properties=species:S:1:pos:R:3 pbc="T T T"
Ce 0.000 0.000 0.000
Tm 0.000 0.000 4.619
Sc 1.709 1.709 2.255
Sc 1.709 1.709 6.983
```

Calculated values
E above lowest polymorph = 0.8 kJ/mol of atoms
Uncorrected energy = -22.78 eV for the cell shown
E_form = 0.0727 eV per atom
Total magnetization = 0.114 μB per atom
Mass density = 6.14 Mg/m³


## ZnBO3 (PBE-GGA)

Data for an optimized crystal structure of ZnBO3.

```
20
Lattice="5.980 0.000 0.000 0.000 7.386 0.000 0.000 0.000 4.646" Properties=species:S:1:pos:R:3 pbc="T T T"
Zn 0.000 0.000 0.000
Zn 0.000 3.693 0.000
Zn 2.990 0.000 2.323
Zn 2.990 3.693 2.323
B 0.720 1.847 2.198
B 2.270 5.540 4.521
B 3.710 1.847 0.125
B 5.260 5.540 2.448
O 0.236 1.847 0.934
O 1.034 0.704 2.917
O 1.034 2.989 2.917
O 1.956 4.397 0.594
O 1.956 6.682 0.594
O 2.754 5.540 3.257
O 3.226 1.847 1.389
O 4.024 0.704 4.052
O 4.024 2.989 4.052
O 4.946 4.397 1.729
O 4.946 6.682 1.729
O 5.744 5.540 3.712
```

Calculated values
Uncorrected energy = -122.94 eV for the cell shown
E_form (uncorrected) = -1.582 eV/atom
Total magnetization = 0.199 μB per atom
Mass density = 4.02 Mg/m³